VICl3 after structural relaxation. Source: Alexandria via LeMat-Bulk, functional PBE-GGA.

Cell lengths 9.9768, 3.3562, 9.3927 Å; angles 90.00, 90.00, 90.00 degrees
Fractional coordinates of all 10 atoms:
V 0.2500 0.0000 0.1860
V 0.7500 0.0000 0.8140
I 0.2500 0.0000 0.5018
I 0.7500 0.0000 0.4982
Cl 0.0850 0.5000 0.2099
Cl 0.2500 0.0000 0.9530
Cl 0.4150 0.5000 0.2099
Cl 0.5850 0.5000 0.7901
Cl 0.7500 0.0000 0.0470
Cl 0.9150 0.5000 0.7901

- final energy (eV per atom) = -4.15
- energy relative to the lowest polymorph listed for this composition (kJ/mol of formula units) = 21
- N(E_F) (states/eV/f.u.) = 5.047
- crystal system = orthorhombic
- M_tot (μB/cell) = 3.4

V3ICl after structural relaxation. Source: Alexandria via LeMat-Bulk, functional PBE-GGA.

Cell lengths 4.3993, 4.3993, 4.3993 Å; angles 90.00, 90.00, 90.00 degrees
Fractional coordinates of all 5 atoms:
V 0.0000 0.0000 0.5000
V 0.0000 0.5000 0.0000
V 0.5000 0.0000 0.0000
I 0.5000 0.5000 0.5000
Cl 0.0000 0.0000 0.0000

- final energy (eV per atom) = -5.30
- energy relative to the lowest polymorph listed for this composition (kJ/mol of formula units) = 0
- N(E_F) (states/eV/f.u.) = 7.056
- crystal system = cubic
- M_tot (μB/cell) = 0.0

VI2Cl4 after structural relaxation. Source: Alexandria via LeMat-Bulk, functional PBE-GGA.

Cell lengths 4.6948, 4.6948, 23.7442 Å; angles 90.00, 90.00, 90.00 degrees
Fractional coordinates of all 14 atoms:
V 0.0000 0.0000 0.0000
V 0.5000 0.5000 0.5000
I 0.0000 0.0000 0.2521
I 0.0000 0.0000 0.7479
I 0.5000 0.5000 0.2479
I 0.5000 0.5000 0.7521
Cl 0.0000 0.0000 0.0936
Cl 0.0000 0.0000 0.9064
Cl 0.0000 0.5000 0.0000
Cl 0.0000 0.5000 0.5000
Cl 0.5000 0.0000 0.0000
Cl 0.5000 0.0000 0.5000
Cl 0.5000 0.5000 0.4064
Cl 0.5000 0.5000 0.5936

- final energy (eV per atom) = -3.41
- N(E_F) (states/eV/f.u.) = 4.703
- crystal system = tetragonal
- M_tot (μB/cell) = 2.1

VI2Cl after structural relaxation. Source: Alexandria via LeMat-Bulk, functional PBE-GGA.

Cell lengths 10.2900, 10.2900, 4.7899 Å; angles 90.00, 90.00, 90.00 degrees
Fractional coordinates of all 16 atoms:
V 0.0000 0.0000 0.0000
V 0.0000 0.5000 0.2500
V 0.5000 0.0000 0.7500
V 0.5000 0.5000 0.5000
I 0.0971 0.2500 0.1250
I 0.2500 0.5971 0.3750
I 0.2500 0.9029 0.8750
I 0.4029 0.2500 0.6250
I 0.5971 0.7500 0.6250
I 0.7500 0.0971 0.8750
I 0.7500 0.4029 0.3750
I 0.9029 0.7500 0.1250
Cl 0.0000 0.0000 0.5000
Cl 0.0000 0.5000 0.7500
Cl 0.5000 0.0000 0.2500
Cl 0.5000 0.5000 0.0000

- final energy (eV per atom) = -3.95
- energy relative to the lowest polymorph listed for this composition (kJ/mol of formula units) = 87
- N(E_F) (states/eV/f.u.) = 3.160
- crystal system = tetragonal
- M_tot (μB/cell) = 8.0

VI2Cl after structural relaxation. Source: Alexandria via LeMat-Bulk, functional PBE-GGA.

Cell lengths 7.0572, 6.2632, 11.1226 Å; angles 90.00, 90.00, 90.00 degrees
Fractional coordinates of all 16 atoms:
V 0.2500 0.0000 0.1002
V 0.2500 0.5000 0.3998
V 0.7500 0.0000 0.8998
V 0.7500 0.5000 0.6002
I 0.0770 0.2365 0.9213
I 0.0770 0.2635 0.5787
I 0.4230 0.7365 0.5787
I 0.4230 0.7635 0.9213
I 0.5770 0.2365 0.0787
I 0.5770 0.2635 0.4213
I 0.9230 0.7365 0.4213
I 0.9230 0.7635 0.0787
Cl 0.1313 0.2500 0.2500
Cl 0.3687 0.7500 0.2500
Cl 0.6313 0.2500 0.7500
Cl 0.8687 0.7500 0.7500

- final energy (eV per atom) = -4.18
- energy relative to the lowest polymorph listed for this composition (kJ/mol of formula units) = 0
- N(E_F) (states/eV/f.u.) = 3.596
- crystal system = orthorhombic
- M_tot (μB/cell) = 8.0

V2ICl after structural relaxation. Source: Alexandria via LeMat-Bulk, functional PBE-GGA.

Cell lengths 6.5697, 6.5697, 6.5697 Å; angles 90.00, 90.00, 90.00 degrees
Fractional coordinates of all 16 atoms:
V 0.2500 0.2500 0.2500
V 0.2500 0.2500 0.7500
V 0.2500 0.7500 0.2500
V 0.2500 0.7500 0.7500
V 0.7500 0.2500 0.2500
V 0.7500 0.2500 0.7500
V 0.7500 0.7500 0.2500
V 0.7500 0.7500 0.7500
I 0.0000 0.0000 0.0000
I 0.0000 0.5000 0.5000
I 0.5000 0.0000 0.5000
I 0.5000 0.5000 0.0000
Cl 0.0000 0.0000 0.5000
Cl 0.0000 0.5000 0.0000
Cl 0.5000 0.0000 0.0000
Cl 0.5000 0.5000 0.5000

- final energy (eV per atom) = -4.92
- energy relative to the lowest polymorph listed for this composition (kJ/mol of formula units) = 51
- N(E_F) (states/eV/f.u.) = 3.891
- crystal system = cubic
- M_tot (μB/cell) = 17.2

- Which value of N(E_F) does entry 1 give?
  5.047 states/eV/f.u.

- What is the N(E_F) in the sixth record?
  3.891 states/eV/f.u.